Compound: CaTc2IrRu
Source: Alexandria
Functional: meta-GGA SCAN
Structure: PBEsol geometry

Geometry as extended XYZ:
```
5
Lattice="-2.437 2.310 2.813 1.947 -2.034 3.357 3.064 3.106 0.105" Properties=species:S:1:pos:R:3 pbc="T T T"
Ir 1.287 1.691 3.137
Ca 0.000 0.000 0.000
Ru 1.532 1.553 0.052
Tc 0.973 -1.017 1.678
Tc -1.219 1.155 1.407
```

Computed properties:
Its space group is No. 123. As for the total energy: -1.2604 hartree per atom. The calculation puts the formation energy at 2844 meV per atom.